Entry from Alexandria via LeMat-Bulk: a relaxed structure of ZnReP (PBE-GGA).

As for the formation energy: 0.089 eV/atom. The total magnetization is 0.0 μB per formula unit. For the energy above the most stable polymorph in this dataset, the calculation gives 185 meV per atom. The symmetry is P-6m2.

```
ZnReP
1.0
3.971 0.000 0.000
-1.986 3.439 0.000
0.000 0.000 3.316
Zn Re P
1 1 1
direct
0.000 0.000 0.000
0.333 0.667 0.500
0.667 0.333 0.500
```

***

Entry from Alexandria via LeMat-Bulk: a relaxed structure of ZnRe2P (PBE-GGA).

As for the formation energy: 0.560 eV/atom. The total magnetization is 0.0 μB per formula unit. For the energy above the most stable polymorph in this dataset, the calculation gives 523 meV per atom. The symmetry is I-42d.

```
ZnRe2P
1.0
-1.872 1.872 8.888
1.872 -1.872 8.888
1.872 1.872 -8.888
Zn Re P
2 4 2
direct
0.000 0.000 0.000
0.750 0.250 0.500
0.150 0.625 0.025
0.375 0.400 0.525
0.600 0.125 0.975
0.875 0.850 0.475
0.250 0.750 0.500
0.500 0.500 0.000
```

***

Entry from Alexandria via LeMat-Bulk: a relaxed structure of ZnRe2P (PBE-GGA).

As for the formation energy: 0.136 eV/atom. The total magnetization is 0.0 μB per formula unit. For the energy above the most stable polymorph in this dataset, the calculation gives 100 meV per atom. The symmetry is P4/mmm.

```
ZnRe2P
1.0
2.929 0.000 0.000
0.000 2.929 0.000
0.000 0.000 6.509
Zn Re P
1 2 1
direct
0.000 0.000 0.000
0.500 0.500 0.290
0.500 0.500 0.710
0.000 0.000 0.500
```